Computed, not measured: a relaxed structure of ZrBH at the PBE level of DFT.

Cell lengths 5.3170, 3.7640, 6.2270 Å; angles 90.00, 90.00, 90.00 degrees
Last column: nearest neighbours and their distance in Å.
Fractional coordinates of all 12 atoms:
1 Zr 0.2387 0.2500 0.0925  3 H 2.08-2.10
2 Zr 0.2613 0.7500 0.5925  3 H 2.08-2.10
3 Zr 0.7387 0.2500 0.4075  3 H 2.08-2.10
4 Zr 0.7613 0.7500 0.9075  3 H 2.08-2.10
5 B 0.0102 0.2500 0.7548  1 H 1.31
6 B 0.4898 0.7500 0.2548  1 H 1.31
7 B 0.5102 0.2500 0.7452  1 H 1.31
8 B 0.9898 0.7500 0.2452  1 H 1.31
9 H 0.0898 0.2500 0.5550  1 B 1.31
10 H 0.4102 0.7500 0.0550  1 B 1.31
11 H 0.5898 0.2500 0.9450  1 B 1.31
12 H 0.9102 0.7500 0.4450  1 B 1.31

Properties
VASP energy: -6.58 eV per atom
Energy relative to the lowest polymorph listed for this composition: 37.5 kJ per mole of atoms
SG: Pnma